NaAcGdHg | PBE-GGA | relaxed

Cell: 5.628 5.628 5.628 Å, 60.00 60.00 60.00°
Positions (direct):
1 Ac 0.250 0.250 0.250
2 Na 0.000 0.000 0.000
3 Gd 0.750 0.750 0.750
4 Hg 0.500 0.500 0.500

energy relative to the elements = -7.3 kJ per mole of atoms


RbMnInBr6 | PBE-GGA | relaxed

Cell: 6.967 6.967 15.215 Å, 90.00 90.00 120.00°
Positions (direct):
1 Mn 0.333 0.667 0.250
2 Mn 0.667 0.333 0.750
3 Br 0.036 0.386 0.155
4 Br 0.614 0.650 0.155
5 Br 0.350 0.964 0.155
6 Br 0.964 0.614 0.845
7 Br 0.650 0.036 0.845
8 Br 0.036 0.650 0.345
9 Br 0.964 0.350 0.655
10 Br 0.614 0.964 0.345
11 Br 0.386 0.036 0.655
12 Br 0.650 0.614 0.655
13 Br 0.350 0.386 0.345
14 Br 0.386 0.350 0.845
15 In 0.333 0.667 0.750
16 In 0.667 0.333 0.250
17 Rb 0.000 0.000 0.500
18 Rb 0.000 0.000 0.000

ΔE_f (raw) = -818 meV per atom


Number 1: theoretical density 8.0 g cm⁻³, D(E_F) 1.38 states/eV per atom. Number 2: theoretical density 3.8 g cm⁻³, D(E_F) 0.76 states/eV per atom.